1.
Here is crystalline Sc3SbTe3 at its relaxed geometry from Alexandria via LeMat-Bulk. Energies are from PBE.

For the distance to the lowest polymorph of the same formula, the calculation gives 0 meV/atom. Its volume is 28.94 A^3/atom. As for the raw formation energy: -1139 meV/atom.

The space group is I4_132 (No. 214) and the conventional cell measures 11.747, 11.747 and 11.747 Å, with angles of 90.00, 90.00 and 90.00 degrees. The asymmetric unit holds Sc at (0.124, 0.125, 0.874), Sb at (0.125, 0.125, 0.125) and Te at (0.125, 0.125, 0.625).

2.
Here is crystalline KYFe at its relaxed geometry from Alexandria via LeMat-Bulk. Energies are from PBE.

Its formation energy is 0.74 eV/atom. For the distance to the lowest polymorph of the same formula, the calculation gives 129 meV/atom. Its volume is 31.10 A^3/atom.

The space group is P3m1 (No. 156) and the conventional cell measures 3.6241, 3.6241 and 8.2025 Å, with angles of 90.00, 90.00 and 120.00 degrees. The asymmetric unit holds K at (0.0000, 0.0000, 0.0000), Y at (0.6667, 0.3333, 0.4546) and Fe at (0.3333, 0.6667, 0.6772).

3.
Here is crystalline CsRb3Pd at its relaxed geometry from Alexandria via LeMat-Bulk. Energies are from PBE.

Its formation energy is 0.83 eV/atom. For the distance to the lowest polymorph of the same formula, the calculation gives 779 meV/atom. Its volume is 96.44 A^3/atom.

The space group is Pm-3m (No. 221) and the conventional cell measures 7.842, 7.842 and 7.842 Å, with angles of 90.00, 90.00 and 90.00 degrees. The asymmetric unit holds Cs at (0.000, 0.000, 0.000), Rb at (0.000, 0.000, 0.500) and Pd at (0.500, 0.500, 0.500).

| no. | total moment (μB per cell) | total DFT energy (no corrections) (eV per atom) |
| --- | --- | --- |
| 1 | 0.0 | -5.788 |
| 2 | 2.1 | -4.597 |
| 3 | 0.0 | -0.963 |